[1]
# TlInSe2 PBE relaxed
data_TlInSe2
_chemical_formula_sum 'Tl1 In1 Se2'
_symmetry_space_group_name_H-M 'P 1'
_symmetry_Int_Tables_number 1
_cell_length_a 5.2755
_cell_length_b 5.2755
_cell_length_c 5.2755
_cell_angle_alpha 60.00
_cell_angle_beta 60.00
_cell_angle_gamma 60.00
loop_
_symmetry_equiv_pos_as_xyz
'x,y,z'
loop_
_atom_site_label
_atom_site_type_symbol
_atom_site_fract_x
_atom_site_fract_y
_atom_site_fract_z
In1 In 0.5000 0.5000 0.5000
Se1 Se 0.0000 0.0000 0.0000
Se2 Se 0.2500 0.2500 0.2500
Tl1 Tl 0.7500 0.7500 0.7500
# SG: F-43m
# Energy (eV/atom): -2.93
# ΔE_f (raw) (eV per atom): 0.090


[2]
# Ta2AuSe PBE relaxed
data_Ta2AuSe
_chemical_formula_sum 'Ta2 Au1 Se1'
_symmetry_space_group_name_H-M 'P 1'
_symmetry_Int_Tables_number 1
_cell_length_a 5.3512
_cell_length_b 5.3512
_cell_length_c 5.3512
_cell_angle_alpha 136.27
_cell_angle_beta 136.27
_cell_angle_gamma 63.56
loop_
_symmetry_equiv_pos_as_xyz
'x,y,z'
loop_
_atom_site_label
_atom_site_type_symbol
_atom_site_fract_x
_atom_site_fract_y
_atom_site_fract_z
Au1 Au 0.5000 0.5000 0.0000
Se1 Se 0.7500 0.2500 0.5000
Ta1 Ta 0.0000 0.0000 0.0000
Ta2 Ta 0.2500 0.7500 0.5000
# SG: I-4m2
# Energy (eV/atom): -7.29
# ΔE_f (raw) (eV per atom): 0.325